[1]
DFT (PBE) results for crystalline Zr5Rh at its relaxed geometry.

Cell lengths 3.310, 3.310, 11.730 Å; angles 90.00, 90.00, 90.00 degrees
Space group P4/mmm (No. 123)
Inequivalent atoms, fractional coordinates:
1 Zr 0.000 0.000 0.000
2 Zr 0.000 0.000 0.361
3 Zr 0.500 0.500 0.184
4 Rh 0.500 0.500 0.500

- energy of formation from the pure elements (eV/atom) = -0.265

[2]
DFT (PBE) results for crystalline Zr5Rh at its relaxed geometry.

Cell lengths 10.962, 3.368, 7.332 Å; angles 90.00, 109.66, 90.00 degrees
Space group C2/m (No. 12)
Inequivalent atoms, fractional coordinates:
1 Zr 0.000 0.000 0.000
2 Zr 0.149 0.500 0.352
3 Zr 0.169 0.500 0.816
4 Rh 0.000 0.000 0.500

- energy of formation from the pure elements (eV/atom) = -0.257

[3]
DFT (PBE) results for crystalline Zr5Rh4 at its relaxed geometry.

Cell lengths 8.4631, 8.4631, 5.4711 Å; angles 90.00, 90.00, 120.00 degrees
Space group P6_3/mcm (No. 193)
Inequivalent atoms, fractional coordinates:
1 Zr 0.0000 0.2810 0.2500
2 Zr 0.3333 0.6667 0.0000
3 Rh 0.0000 0.0000 0.0000
4 Rh 0.0000 0.4010 0.7500

- energy of formation from the pure elements (eV/atom) = -0.626

[4]
DFT (PBE) results for crystalline Zr2Rh3 at its relaxed geometry.

Cell lengths 9.771, 13.287, 5.302 Å; angles 90.00, 90.00, 90.00 degrees
Space group Fdd2 (No. 43)
Inequivalent atoms, fractional coordinates:
1 Zr 0.057 0.198 0.000
2 Rh 0.000 0.000 0.094
3 Rh 0.057 0.106 0.523

- energy of formation from the pure elements (eV/atom) = -0.713